(1)
Density functional theory data (PBE) for BC2 after structural relaxation.

Unit cell a=3.6652 b=4.5367 c=5.3126 alpha=105.84 beta=90.47 gamma=113.60
With the nearest neighbours (Å) after each atom.
Space group P1 (No. 1)
Asymmetric unit:
B1 0.0000 0.0000 0.0000  4 C 1.60-1.72
B2 0.0525 0.6695 0.3880  3 C 1.60-1.61
B3 0.3918 0.6715 0.7162  3 C 1.56-1.59
B4 0.6711 0.3429 0.8384  4 C 1.63-1.69
C1 0.0011 0.0156 0.5022  3 C 1.53-1.57, 1 B 1.61
C2 0.1035 0.6790 0.9377  1 C 1.55, 3 B 1.59-1.65
C3 0.3573 0.6744 0.1699  3 C 1.53-1.57, 1 B 1.61
C4 0.4061 0.3237 0.5688  2 C 1.53-1.54, 2 B 1.58-1.69
C5 0.4413 0.3603 0.1007  2 C 1.53-1.55, 1 B 1.63
C6 0.6543 0.3263 0.3374  3 C 1.54-1.55, 1 B 1.60
C7 0.7498 0.0116 0.2604  3 C 1.55-1.57, 1 B 1.67
C8 0.7644 0.0086 0.7384  1 C 1.53, 3 B 1.56-1.65

Results
Formation enthalpy at 0 K in kJ/mol of atoms: 30.4

(2)
Density functional theory data (PBE) for Mg2ZrBr after structural relaxation.

Unit cell a=3.2118 b=5.2304 c=5.6977 alpha=90.00 beta=90.12 gamma=90.00
With the nearest neighbours (Å) after each atom.
Space group Pm (No. 6)
Asymmetric unit:
Mg1 0.0000 0.0000 0.0000  4 Mg 3.03-3.21, 4 Zr 3.21-3.33
Mg2 0.0005 0.5000 0.7307  2 Br 2.83, 2 Mg 3.03
Zr1 0.4997 0.0000 0.5117  2 Br 2.83
Br1 0.4981 0.5000 0.3219  2 Mg 2.83, 2 Zr 2.83

Results
Raw formation energy in eV per atom: -0.1380

(3)
Density functional theory data (PBE) for Y2Te2Br after structural relaxation.

Unit cell a=4.3535 b=4.3535 c=17.3280 alpha=90.00 beta=90.00 gamma=90.00
With the nearest neighbours (Å) after each atom.
Space group I4/mmm (No. 139)
Asymmetric unit:
Y1 0.0000 0.0000 0.1621  1 Br 2.81, 5 Te 3.08-3.12
Te1 0.0000 0.0000 0.3422  5 Y 3.08-3.12
Br1 0.0000 0.0000 0.0000  2 Y 2.81

Results
Raw formation energy in eV per atom: -1.4942